The following is a DFT calculation (PBE-GGA) of crystalline Gd2InGaNi4 at its relaxed geometry.

Geometry as POSCAR:
```
Gd2InGaNi4
1.0
4.276 0.000 0.000
-2.138 3.703 0.000
0.000 0.000 8.819
Gd In Ga Ni
2 1 1 4
Cartesian
0.000 2.469 2.249 Gd
2.138 1.234 6.570 Gd
0.000 0.000 0.000 In
0.000 0.000 4.409 Ga
0.000 2.469 4.995 Ni
0.000 2.469 8.121 Ni
2.138 1.234 0.698 Ni
2.138 1.234 3.823 Ni
```

The magnetization comes out at 0.000 μB/atom. As for the energy: -5.12 eV per atom.

The following is a DFT calculation (PBE-GGA) of crystalline Lu2CoN at its relaxed geometry.

Geometry as POSCAR:
```
Lu2CoN
1.0
3.314 0.000 0.000
-1.657 2.870 0.000
0.000 0.000 13.315
Lu Co N
4 2 2
Cartesian
0.000 1.913 1.375 Lu
0.000 1.913 5.283 Lu
1.657 0.957 8.032 Lu
1.657 0.957 11.940 Lu
0.000 1.913 9.986 Co
1.657 0.957 3.329 Co
0.000 0.000 0.000 N
0.000 0.000 6.657 N
```

The magnetization comes out at 0.096 μB/atom. For the relative energy among the computed polymorphs, the calculation gives 61 meV per atom.

The following is a DFT calculation (PBE-GGA) of crystalline ErZrFe4 at its relaxed geometry.

Geometry as POSCAR:
```
ErZrFe4
1.0
0.000 3.549 3.549
3.549 0.000 3.549
3.549 3.549 0.000
Er Zr Fe
1 1 4
Cartesian
0.000 0.000 0.000 Er
5.324 5.324 5.324 Zr
2.663 2.663 2.663 Fe
4.436 4.436 2.663 Fe
4.436 2.663 4.436 Fe
2.663 4.436 4.436 Fe
```

The magnetization comes out at 1.071 μB/atom. As for the energy: -7.92 eV per atom.

The following is a DFT calculation (PBE-GGA) of crystalline HfNiOs2 at its relaxed geometry.

Geometry as POSCAR:
```
HfNiOs2
1.0
0.000 3.112 3.112
3.112 0.000 3.112
3.112 3.112 0.000
Hf Ni Os
1 1 2
Cartesian
0.000 0.000 0.000 Hf
4.669 4.669 4.669 Ni
1.556 1.556 1.556 Os
3.112 3.112 3.112 Os
```

The magnetization comes out at 0.011 μB/atom. As for the energy: -9.48 eV per atom.

The following is a DFT calculation (PBE-GGA) of crystalline ZrO3 at its relaxed geometry.

Geometry as POSCAR:
```
ZrO3
1.0
2.700 1.559 3.125
-2.700 1.559 3.125
0.000 -3.118 3.125
Zr O
2 6
Cartesian
0.000 0.000 2.344 Zr
0.000 0.000 7.031 Zr
-1.629 0.296 3.906 O
-1.071 -1.263 5.468 O
0.558 -1.559 3.906 O
-0.558 1.559 5.468 O
1.071 1.263 3.906 O
1.629 -0.296 5.468 O
```

The magnetization comes out at 0.000 μB/atom. For the relative energy among the computed polymorphs, the calculation gives 279 meV per atom.

The following is a DFT calculation (PBE-GGA) of crystalline TbSi2Pt at its relaxed geometry.

Geometry as POSCAR:
```
TbSi2Pt
1.0
4.356 0.000 0.000
0.000 4.570 0.000
0.000 0.000 7.703
Tb Si Pt
2 4 2
Cartesian
0.000 0.233 0.000 Tb
0.000 4.338 3.851 Tb
0.000 2.277 5.756 Si
0.000 2.293 1.905 Si
2.178 1.019 5.445 Si
2.178 3.552 1.594 Si
2.178 1.253 2.620 Pt
2.178 3.317 6.472 Pt
```

The magnetization comes out at 0.001 μB/atom. As for the energy: -6.02 eV per atom.